! LiCdW3 PBE relaxed; values from VASP
&SYSTEM
  ibrav = 0, nat = 5, ntyp = 3
/
ATOMIC_SPECIES
W 183.84 W.upf
Li 6.94 Li.upf
Cd 112.41 Cd.upf
CELL_PARAMETERS angstrom
4.903 0.000 0.000
0.000 4.903 0.000
0.000 0.000 4.903
ATOMIC_POSITIONS crystal
W 0.500 0.000 0.000
W 0.000 0.000 0.500
W 0.000 0.500 0.000
Li 0.500 0.500 0.500
Cd 0.000 0.000 0.000
! Fermi-level density of states, states/eV/f.u.: 8.36
! Relative energy among the computed polymorphs, meV per atom: 1492
! Electronic total energy, eV for the cell shown: -26.66
! M_tot, μB per atom: 0.000

=====

! Li2CdW PBE relaxed; values from VASP
&SYSTEM
  ibrav = 0, nat = 4, ntyp = 3
/
ATOMIC_SPECIES
Cd 112.41 Cd.upf
W 183.84 W.upf
Li 6.94 Li.upf
CELL_PARAMETERS angstrom
-0.259 -0.614 -4.823
-2.417 -0.935 0.249
-2.162 4.893 -0.507
ATOMIC_POSITIONS crystal
Cd 0.500 0.750 0.750
W 0.500 0.250 0.250
Li 0.000 0.900 0.032
Li 0.000 0.600 0.468
! Fermi-level density of states, states/eV/f.u.: 1.98
! Relative energy among the computed polymorphs, meV per atom: 188
! Electronic total energy, eV for the cell shown: -16.02
! M_tot, μB per atom: 0.000

=====

! Li3CdW PBE relaxed; values from VASP
&SYSTEM
  ibrav = 0, nat = 5, ntyp = 3
/
ATOMIC_SPECIES
Cd 112.41 Cd.upf
Li 6.94 Li.upf
W 183.84 W.upf
CELL_PARAMETERS angstrom
-1.292 2.905 3.543
-4.445 -1.685 -0.239
1.108 -3.373 3.170
ATOMIC_POSITIONS crystal
Cd 0.000 0.000 0.000
Li 0.000 0.500 0.000
Li 0.000 0.000 0.500
Li 0.500 0.000 0.000
W 0.500 0.500 0.500
! Fermi-level density of states, states/eV/f.u.: 3.26
! Relative energy among the computed polymorphs, meV per atom: 0
! Electronic total energy, eV for the cell shown: -13.35
! M_tot, μB per atom: 0.711

=====

! LiCdW2 PBE relaxed; values from VASP
&SYSTEM
  ibrav = 0, nat = 4, ntyp = 3
/
ATOMIC_SPECIES
Li 6.94 Li.upf
W 183.84 W.upf
Cd 112.41 Cd.upf
CELL_PARAMETERS angstrom
-4.367 -0.851 -0.821
1.218 -3.418 -2.702
1.495 0.124 4.269
ATOMIC_POSITIONS crystal
Li 0.750 0.250 0.500
W 0.000 0.000 0.000
W 0.250 0.750 0.500
Cd 0.500 0.500 0.000
! Fermi-level density of states, states/eV/f.u.: 3.75
! Relative energy among the computed polymorphs, meV per atom: 341
! Electronic total energy, eV for the cell shown: -26.26
! M_tot, μB per atom: 0.000

=====

! LiCdW PBE relaxed; values from VASP
&SYSTEM
  ibrav = 0, nat = 3, ntyp = 3
/
ATOMIC_SPECIES
Cd 112.41 Cd.upf
W 183.84 W.upf
Li 6.94 Li.upf
CELL_PARAMETERS angstrom
4.562 0.000 0.000
2.281 3.951 0.000
2.281 1.317 3.725
ATOMIC_POSITIONS crystal
Cd 0.000 0.000 0.000
W 0.750 0.750 0.750
Li 0.500 0.500 0.500
! Fermi-level density of states, states/eV/f.u.: 5.07
! Relative energy among the computed polymorphs, meV per atom: 1248
! Electronic total energy, eV for the cell shown: -10.87
! M_tot, μB per atom: 0.910

=====

! LiCd2W PBE relaxed; values from VASP
&SYSTEM
  ibrav = 0, nat = 4, ntyp = 3
/
ATOMIC_SPECIES
W 183.84 W.upf
Cd 112.41 Cd.upf
Li 6.94 Li.upf
CELL_PARAMETERS angstrom
-0.370 -3.049 4.798
-3.880 -4.155 0.351
4.680 2.287 -2.305
ATOMIC_POSITIONS crystal
W 0.250 0.750 0.500
Cd 0.520 0.520 0.000
Cd 0.980 0.980 0.000
Li 0.750 0.250 0.500
! Fermi-level density of states, states/eV/f.u.: 2.46
! Relative energy among the computed polymorphs, meV per atom: 362
! Electronic total energy, eV for the cell shown: -14.25
! M_tot, μB per atom: 0.000

=====

! Li2CdW PBE relaxed; values from VASP
&SYSTEM
  ibrav = 0, nat = 4, ntyp = 3
/
ATOMIC_SPECIES
Li 6.94 Li.upf
W 183.84 W.upf
Cd 112.41 Cd.upf
CELL_PARAMETERS angstrom
-1.928 -1.780 -0.422
2.235 -3.215 3.346
-2.682 2.019 3.732
ATOMIC_POSITIONS crystal
Li 0.500 0.500 0.000
W 0.500 0.000 0.500
Li 0.000 0.000 0.000
Cd 0.000 0.500 0.500
! Fermi-level density of states, states/eV/f.u.: 2.07
! Relative energy among the computed polymorphs, meV per atom: 242
! Electronic total energy, eV for the cell shown: -15.81
! M_tot, μB per atom: 0.000

=====

! LiCd2W2 PBE relaxed; values from VASP
&SYSTEM
  ibrav = 0, nat = 10, ntyp = 3
/
ATOMIC_SPECIES
Cd 112.41 Cd.upf
W 183.84 W.upf
Li 6.94 Li.upf
CELL_PARAMETERS angstrom
8.605 0.000 0.000
0.000 8.605 0.000
0.000 0.000 2.755
ATOMIC_POSITIONS crystal
Cd 0.310 0.190 0.500
W 0.398 0.898 0.000
Li 0.000 0.000 0.000
W 0.102 0.398 0.000
Li 0.500 0.500 0.000
Cd 0.690 0.810 0.500
W 0.602 0.102 0.000
W 0.898 0.602 0.000
Cd 0.190 0.690 0.500
Cd 0.810 0.310 0.500
! Fermi-level density of states, states/eV/f.u.: 4.13
! Relative energy among the computed polymorphs, meV per atom: 0
! Electronic total energy, eV for the cell shown: -52.30
! M_tot, μB per atom: 0.000

=====

! Li2CdW PBE relaxed; values from VASP
&SYSTEM
  ibrav = 0, nat = 4, ntyp = 3
/
ATOMIC_SPECIES
Li 6.94 Li.upf
Cd 112.41 Cd.upf
W 183.84 W.upf
CELL_PARAMETERS angstrom
-0.807 -0.707 2.500
2.181 -1.408 -0.813
5.900 6.913 3.861
ATOMIC_POSITIONS crystal
Li 0.000 0.000 0.009
Li 0.000 0.000 0.491
Cd 0.500 0.500 0.750
W 0.500 0.500 0.250
! Fermi-level density of states, states/eV/f.u.: 2.01
! Relative energy among the computed polymorphs, meV per atom: 0
! Electronic total energy, eV for the cell shown: -16.78
! M_tot, μB per atom: 0.000

=====

! LiCdW2 PBE relaxed; values from VASP
&SYSTEM
  ibrav = 0, nat = 4, ntyp = 3
/
ATOMIC_SPECIES
Cd 112.41 Cd.upf
W 183.84 W.upf
Li 6.94 Li.upf
CELL_PARAMETERS angstrom
4.970 0.000 0.000
0.000 2.733 -0.007
0.000 0.728 4.905
ATOMIC_POSITIONS crystal
Cd 0.500 0.250 0.250
W 0.000 0.501 0.505
W 0.000 0.999 0.995
Li 0.500 0.750 0.750
! Fermi-level density of states, states/eV/f.u.: 2.87
! Relative energy among the computed polymorphs, meV per atom: 223
! Electronic total energy, eV for the cell shown: -26.73
! M_tot, μB per atom: 0.000

=====

! Li2CdW PBE relaxed; values from VASP
&SYSTEM
  ibrav = 0, nat = 4, ntyp = 3
/
ATOMIC_SPECIES
Cd 112.41 Cd.upf
Li 6.94 Li.upf
W 183.84 W.upf
CELL_PARAMETERS angstrom
5.152 -0.015 0.023
4.488 2.531 0.023
0.673 0.176 5.252
ATOMIC_POSITIONS crystal
Cd 0.254 0.254 0.268
Li 0.993 0.993 0.987
W 0.504 0.504 0.489
Li 0.749 0.749 0.756
! Fermi-level density of states, states/eV/f.u.: 3.27
! Relative energy among the computed polymorphs, meV per atom: 272
! Electronic total energy, eV for the cell shown: -15.69
! M_tot, μB per atom: 0.071

=====

! LiCdW2 PBE relaxed; values from VASP
&SYSTEM
  ibrav = 0, nat = 4, ntyp = 3
/
ATOMIC_SPECIES
Li 6.94 Li.upf
W 183.84 W.upf
Cd 112.41 Cd.upf
CELL_PARAMETERS angstrom
-0.572 2.696 0.067
-1.966 -1.333 -1.398
-4.888 -1.238 8.056
ATOMIC_POSITIONS crystal
Li 0.500 0.500 0.758
W 0.500 0.500 0.234
W 0.000 0.000 0.003
Cd 0.000 0.000 0.505
! Fermi-level density of states, states/eV/f.u.: 2.54
! Relative energy among the computed polymorphs, meV per atom: 0
! Electronic total energy, eV for the cell shown: -27.62
! M_tot, μB per atom: 0.000

=====

! Li2CdW PBE relaxed; values from VASP
&SYSTEM
  ibrav = 0, nat = 4, ntyp = 3
/
ATOMIC_SPECIES
Li 6.94 Li.upf
Cd 112.41 Cd.upf
W 183.84 W.upf
CELL_PARAMETERS angstrom
-3.045 -2.632 -4.230
-4.884 -2.939 1.263
3.237 4.840 -0.430
ATOMIC_POSITIONS crystal
Li 0.503 0.503 0.000
Cd 0.750 0.250 0.500
W 0.250 0.750 0.500
Li 0.997 0.997 0.000
! Fermi-level density of states, states/eV/f.u.: 4.03
! Relative energy among the computed polymorphs, meV per atom: 252
! Electronic total energy, eV for the cell shown: -15.77
! M_tot, μB per atom: 0.000

=====

! LiCdW2 PBE relaxed; values from VASP
&SYSTEM
  ibrav = 0, nat = 4, ntyp = 3
/
ATOMIC_SPECIES
Li 6.94 Li.upf
Cd 112.41 Cd.upf
W 183.84 W.upf
CELL_PARAMETERS angstrom
2.684 0.000 0.000
0.000 2.684 0.000
0.000 0.000 9.292
ATOMIC_POSITIONS crystal
Li 0.500 0.500 0.750
Cd 0.500 0.500 0.250
W 0.000 0.000 0.993
W 0.000 0.000 0.507
! Fermi-level density of states, states/eV/f.u.: 1.92
! Relative energy among the computed polymorphs, meV per atom: 410
! Electronic total energy, eV for the cell shown: -25.98
! M_tot, μB per atom: 0.000

=====

! LiCd2W PBE relaxed; values from VASP
&SYSTEM
  ibrav = 0, nat = 8, ntyp = 3
/
ATOMIC_SPECIES
W 183.84 W.upf
Li 6.94 Li.upf
Cd 112.41 Cd.upf
CELL_PARAMETERS angstrom
-0.448 -0.247 3.993
-3.572 -1.785 -0.511
2.357 -9.741 1.692
ATOMIC_POSITIONS crystal
W 0.000 0.000 0.000
Li 0.500 0.500 0.000
Li 0.250 0.750 0.500
Cd 0.875 0.871 0.750
Cd 0.621 0.125 0.250
Cd 0.375 0.379 0.750
Cd 0.129 0.625 0.250
W 0.750 0.250 0.500
! Fermi-level density of states, states/eV/f.u.: 2.98
! Relative energy among the computed polymorphs, meV per atom: 797
! Electronic total energy, eV for the cell shown: -25.01
! M_tot, μB per atom: 0.286